# 1
This record from Alexandria via LeMat-Bulk describes a relaxed structure of Sn3Br5Cl. The functional is PBE.

Cell lengths 4.4433, 10.0500, 15.5955 Å; angles 108.80, 90.00, 90.00 degrees
Positions (direct):
Sn (0.0000, 0.6604, 0.3208)
Sn (0.0000, 0.0000, 0.0000)
Sn (0.5000, 0.1688, 0.3377)
Sn (0.5000, 0.5000, 0.0000)
Sn (0.5000, 0.8312, 0.6623)
Sn (0.0000, 0.3396, 0.6792)
Cl (0.5000, 0.4027, 0.8053)
Cl (0.5000, 0.5973, 0.1947)
Br (0.0000, 0.2984, 0.0000)
Br (0.5000, 0.9318, 0.8637)
Br (0.0000, 0.6325, 0.6677)
Br (0.0000, 0.0352, 0.6677)
Br (0.5000, 0.7286, 0.4573)
Br (0.5000, 0.0682, 0.1363)
Br (0.5000, 0.2714, 0.5427)
Br (0.0000, 0.9648, 0.3323)
Br (0.0000, 0.3675, 0.3323)
Br (0.0000, 0.7016, 0.0000)

Uncorrected formation energy = -788 meV per atom
DOS(E_F) = 0.000 states/eV/f.u.

---

# 2
This record from Alexandria via LeMat-Bulk describes a relaxed structure of Sn4Br3Cl4. The functional is PBE.

Cell lengths 3.9486, 9.4407, 9.6973 Å; angles 119.13, 101.75, 90.00 degrees
Positions (direct):
Cl (0.6694, 0.4837, 0.3387)
Cl (0.3306, 0.5163, 0.6613)
Cl (0.6694, 0.8550, 0.3387)
Cl (0.3306, 0.1450, 0.6613)
Br (0.0000, 0.5000, 0.0000)
Br (0.8900, 0.8900, 0.7800)
Br (0.1100, 0.1100, 0.2200)
Sn (0.7503, 0.2503, 0.5006)
Sn (0.2497, 0.7497, 0.4994)
Sn (0.5000, 0.7524, 0.0000)
Sn (0.5000, 0.2476, 0.0000)

Offset from the most stable computed form = 0.004 eV per atom
Uncorrected formation energy = -740 meV per atom
DOS(E_F) = 2.974 states/eV/f.u.

---

# 3
This record from Alexandria via LeMat-Bulk describes a relaxed structure of Sn3BrCl. The functional is PBE.

Cell lengths 5.5637, 5.5637, 5.5637 Å; angles 90.00, 90.00, 90.00 degrees
Positions (direct):
Sn (0.5000, 0.0000, 0.0000)
Sn (0.0000, 0.0000, 0.5000)
Sn (0.0000, 0.5000, 0.0000)
Br (0.5000, 0.5000, 0.5000)
Cl (0.0000, 0.0000, 0.0000)

Offset from the most stable computed form = 0.000 eV per atom
Uncorrected formation energy = 380 meV per atom
DOS(E_F) = 6.598 states/eV/f.u.

---

# 4
This record from Alexandria via LeMat-Bulk describes a relaxed structure of Sn6Br7Cl5. The functional is PBE.

Cell lengths 6.9442, 6.9442, 13.3271 Å; angles 90.00, 90.00, 92.61 degrees
Positions (direct):
Sn (0.4980, 0.4980, 0.6704)
Sn (0.4980, 0.4980, 0.3296)
Sn (0.0180, 0.0180, 0.5000)
Sn (0.9916, 0.9916, 0.1665)
Sn (0.4921, 0.4921, 0.0000)
Sn (0.9916, 0.9916, 0.8335)
Cl (0.3053, 0.3053, 0.1472)
Cl (0.2976, 0.2976, 0.5000)
Cl (0.7045, 0.7045, 0.8130)
Cl (0.7045, 0.7045, 0.1870)
Cl (0.3053, 0.3053, 0.8528)
Br (0.1689, 0.7680, 0.0000)
Br (0.2187, 0.8154, 0.6677)
Br (0.7680, 0.1689, 0.0000)
Br (0.2187, 0.8154, 0.3323)
Br (0.8154, 0.2187, 0.3323)
Br (0.8154, 0.2187, 0.6677)
Br (0.6884, 0.6884, 0.5000)

Uncorrected formation energy = -850 meV per atom
DOS(E_F) = 0.000 states/eV/f.u.

---

# 5
This record from Alexandria via LeMat-Bulk describes a relaxed structure of SnBrCl. The functional is PBE.

Cell lengths 4.2246, 4.2246, 7.0879 Å; angles 107.34, 107.34, 90.00 degrees
Positions (direct):
Br (0.3153, 0.3153, 0.6306)
Cl (0.0220, 0.0220, 0.0439)
Sn (0.5127, 0.5127, 0.0255)

Uncorrected formation energy = -769 meV per atom
DOS(E_F) = 0.000 states/eV/f.u.

---

# 6
This record from Alexandria via LeMat-Bulk describes a relaxed structure of SnBrCl2. The functional is PBE.

Cell lengths 8.2117, 8.2117, 8.3229 Å; angles 60.44, 60.44, 90.00 degrees
Positions (direct):
Sn (0.7500, 0.2500, 0.5000)
Sn (0.0000, 0.0000, 0.0000)
Cl (0.8750, 0.0417, 0.7500)
Cl (0.7917, 0.1250, 0.2500)
Cl (0.3750, 0.2083, 0.7500)
Cl (0.9583, 0.6250, 0.2500)
Br (0.2500, 0.7500, 0.5000)
Br (0.5000, 0.5000, 0.0000)

Offset from the most stable computed form = 0.443 eV per atom
Uncorrected formation energy = -374 meV per atom
DOS(E_F) = 13.692 states/eV/f.u.